Computed, not measured: a relaxed structure of KLi2BiBr6 at the GGA-PBE level of DFT.

Calculated values
Energy: -3.153 eV per atom
Space-group type: No. 148
Uncorrected formation energy: -122.42 kJ/mol of atoms

Cell and atoms, written as POSCAR:
```
KLi2BiBr6
1.0
7.0592 0.0001 0.0003
3.5296 6.1139 -0.0011
3.5279 2.0392 8.0033
K Li Bi Br
1 2 1 6
Cartesian
10.5876 6.1145 4.4134
7.0583 4.0760 0.5141
10.5892 6.1139 0.3103
3.5297 2.0378 0.4117
5.9543 2.0402 1.9819
5.8480 6.0517 1.9809
9.3748 4.1381 1.9810
8.2687 6.1776 6.8453
8.2713 1.9779 6.8462
4.6327 4.0751 6.8454
```